# 1
BeVTe2 PBE relaxed; density of states at the Fermi level = 2.16 states/eV/cell; energy above the lowest structure with this stoichiometry = 121 kJ/mol of formula units; SG = R-3m; formation energy from raw total energies = 0.25 eV/atom
1.0
-6.196 -1.554 5.392
-5.005 1.652 6.488
-7.327 1.437 3.757
Te V Be
2 1 1
direct
0.096 0.096 0.096 Te
0.904 0.904 0.904 Te
0.500 0.500 0.500 V
0.000 0.000 0.000 Be


# 2
Be2VTe PBE relaxed; density of states at the Fermi level = 6.20 states/eV/cell; energy above the lowest structure with this stoichiometry = 0 kJ/mol of formula units; SG = I-42d; formation energy from raw total energies = 0.71 eV/atom
1.0
6.890 0.000 0.000
0.000 6.890 0.000
3.445 3.445 2.586
V Te Be
2 2 4
direct
0.500 0.500 0.000 V
0.250 0.750 0.500 V
0.750 0.250 0.500 Te
0.000 0.000 0.000 Te
0.375 0.369 0.750 Be
0.875 0.881 0.750 Be
0.119 0.625 0.250 Be
0.631 0.125 0.250 Be


# 3
BeV3Te PBE relaxed; density of states at the Fermi level = 6.60 states/eV/cell; energy above the lowest structure with this stoichiometry = 542 kJ/mol of formula units; SG = Pm-3m; formation energy from raw total energies = 1.62 eV/atom
1.0
4.833 0.000 0.000
0.000 4.833 0.000
0.000 0.000 4.833
Te Be V
1 1 3
direct
0.000 0.000 0.000 Te
0.500 0.500 0.500 Be
0.000 0.000 0.500 V
0.000 0.500 0.000 V
0.500 0.000 0.000 V


# 4
Be3VTe PBE relaxed; density of states at the Fermi level = 2.05 states/eV/cell; energy above the lowest structure with this stoichiometry = 0 kJ/mol of formula units; SG = Pm-3m; formation energy from raw total energies = 1.32 eV/atom
1.0
-1.896 -1.427 -3.642
3.813 -1.577 -1.367
-0.873 -3.791 1.940
V Be Te
1 3 1
direct
0.000 0.000 0.000 V
0.000 0.500 0.000 Be
0.000 0.000 0.500 Be
0.500 0.000 0.000 Be
0.500 0.500 0.500 Te


# 5
Be3VTe PBE relaxed; density of states at the Fermi level = 4.10 states/eV/cell; energy above the lowest structure with this stoichiometry = 147 kJ/mol of formula units; SG = Pm-3m; formation energy from raw total energies = 1.62 eV/atom
1.0
-1.899 -3.939 -1.484
1.896 0.653 -4.160
3.758 -2.320 1.350
V Be Te
1 3 1
direct
0.500 0.500 0.500 V
0.000 0.500 0.000 Be
0.000 0.000 0.500 Be
0.500 0.000 0.000 Be
0.000 0.000 0.000 Te


# 6
BeVTe2 PBE relaxed; density of states at the Fermi level = 3.13 states/eV/cell; energy above the lowest structure with this stoichiometry = 0 kJ/mol of formula units; SG = I-42d; formation energy from raw total energies = -0.07 eV/atom
1.0
6.126 0.000 0.000
0.000 6.126 0.000
3.063 3.063 5.572
Te V Be
4 2 2
direct
0.161 0.625 0.250 Te
0.375 0.411 0.750 Te
0.589 0.125 0.250 Te
0.875 0.839 0.750 Te
0.000 0.000 0.000 V
0.750 0.250 0.500 V
0.500 0.500 0.000 Be
0.250 0.750 0.500 Be


# 7
BeV2Te PBE relaxed; density of states at the Fermi level = 7.89 states/eV/cell; energy above the lowest structure with this stoichiometry = 233 kJ/mol of formula units; SG = I-42d; formation energy from raw total energies = 0.99 eV/atom
1.0
-0.992 4.410 2.057
1.584 -1.693 4.393
6.215 3.331 1.851
Be V Te
2 4 2
direct
0.250 0.750 0.500 Be
0.500 0.500 0.000 Be
0.521 0.125 0.250 V
0.875 0.771 0.750 V
0.229 0.625 0.250 V
0.375 0.479 0.750 V
0.750 0.250 0.500 Te
0.000 0.000 0.000 Te


# 8
Be2VTe PBE relaxed; density of states at the Fermi level = 3.38 states/eV/cell; energy above the lowest structure with this stoichiometry = 33 kJ/mol of formula units; SG = Fm-3m; formation energy from raw total energies = 0.79 eV/atom
1.0
0.000 3.088 3.088
3.088 0.000 3.088
3.088 3.088 0.000
Be V Te
2 1 1
direct
0.750 0.750 0.750 Be
0.250 0.250 0.250 Be
0.000 0.000 0.000 V
0.500 0.500 0.500 Te


# 9
BeTeW3 PBE relaxed; density of states at the Fermi level = 6.87 states/eV/cell; energy above the lowest structure with this stoichiometry = 801 kJ/mol of formula units; SG = Pm-3m; formation energy from raw total energies = 2.82 eV/atom
1.0
-4.716 -1.166 -0.164
0.877 -3.026 -3.701
0.785 -3.621 3.146
Be W Te
1 3 1
direct
0.500 0.500 0.500 Be
0.000 0.500 0.000 W
0.000 0.000 0.500 W
0.500 0.000 0.000 W
0.000 0.000 0.000 Te


# 10
Be2TeW PBE relaxed; density of states at the Fermi level = 1.68 states/eV/cell; SG = Immm; formation energy from raw total energies = 0.74 eV/atom
1.0
-3.407 0.452 -3.374
0.509 -3.321 -3.451
-0.525 0.163 4.785
Te Be W
1 2 1
direct
0.750 0.250 0.500 Te
0.494 0.494 0.000 Be
0.006 0.006 0.000 Be
0.250 0.750 0.500 W


# 11
BeTeW4 PBE relaxed; density of states at the Fermi level = 5.26 states/eV/cell; SG = F-43m; formation energy from raw total energies = 0.96 eV/atom
1.0
-0.780 1.433 5.085
0.671 5.089 1.473
-4.232 2.979 1.315
Be W Te
1 4 1
direct
0.750 0.750 0.750 Be
0.377 0.377 0.377 W
0.377 0.870 0.377 W
0.870 0.377 0.377 W
0.377 0.377 0.870 W
0.000 0.000 0.000 Te


# 12
Be2TeW PBE relaxed; density of states at the Fermi level = 1.85 states/eV/cell; SG = Pm; formation energy from raw total energies = 0.52 eV/atom
1.0
3.525 0.000 0.000
0.000 3.232 -0.073
0.000 2.163 5.045
Be W Te
2 1 1
direct
0.000 0.163 0.982 Be
0.500 0.095 0.212 Be
0.500 0.754 0.814 W
0.000 0.488 0.491 Te


# 13
Be2TeW PBE relaxed; density of states at the Fermi level = 2.71 states/eV/cell; SG = C2/m; formation energy from raw total energies = 0.60 eV/atom
1.0
-1.506 3.210 3.018
-4.172 1.374 1.544
0.211 -2.905 3.237
W Te Be
1 1 2
direct
0.250 0.250 0.250 W
0.750 0.750 0.750 Te
0.948 0.948 0.247 Be
0.552 0.552 0.253 Be


# 14
BeTe2W PBE relaxed; density of states at the Fermi level = 7.79 states/eV/cell; SG = I-42d; formation energy from raw total energies = 0.64 eV/atom
1.0
6.095 0.000 0.000
0.000 6.095 0.000
3.047 3.047 5.472
Be W Te
2 2 4
direct
0.500 0.500 0.000 Be
0.250 0.750 0.500 Be
0.750 0.250 0.500 W
0.000 0.000 0.000 W
0.590 0.125 0.250 Te
0.160 0.625 0.250 Te
0.375 0.410 0.750 Te
0.875 0.840 0.750 Te


# 15
BeTe2W PBE relaxed; density of states at the Fermi level = 3.45 states/eV/cell; SG = R-3m; formation energy from raw total energies = 0.56 eV/atom
1.0
-2.260 1.584 7.137
-5.180 0.483 5.612
-2.891 -1.819 6.848
Te W Be
2 1 1
direct
0.006 0.006 0.006 Te
0.494 0.494 0.494 Te
0.250 0.250 0.250 W
0.750 0.750 0.750 Be


# 16
Be2TeW PBE relaxed; density of states at the Fermi level = 1.89 states/eV/cell; SG = Cm; formation energy from raw total energies = 0.60 eV/atom
1.0
5.035 0.001 -0.020
3.873 3.217 -0.020
0.364 0.131 3.661
Te Be W
1 2 1
direct
0.527 0.527 0.489 Te
0.778 0.778 0.713 Be
0.945 0.945 0.083 Be
0.249 0.249 0.216 W


# 17
BeTe2W PBE relaxed; density of states at the Fermi level = 4.68 states/eV/cell; SG = F-43m; formation energy from raw total energies = 1.27 eV/atom
1.0
-3.337 3.116 -1.434
-3.892 -1.556 -2.310
-4.267 0.101 2.164
W Te Be
1 2 1
direct
0.750 0.750 0.750 W
0.000 0.000 0.000 Te
0.250 0.250 0.250 Te
0.500 0.500 0.500 Be


# 18
Be2TeW PBE relaxed; density of states at the Fermi level = 1.06 states/eV/cell; SG = P4mm; formation energy from raw total energies = 0.53 eV/atom
1.0
-1.892 -2.742 0.169
0.562 -0.587 -3.235
4.242 -2.849 1.253
Be Te W
2 1 1
direct
0.000 0.000 0.013 Be
0.500 0.500 0.216 Be
0.000 0.000 0.496 Te
0.500 0.500 0.775 W


# 19
BeTe2W PBE relaxed; density of states at the Fermi level = 4.85 states/eV/cell; SG = I-4m2; formation energy from raw total energies = 1.11 eV/atom
1.0
5.442 -0.014 0.000
2.366 4.901 0.000
-3.904 -2.444 2.899
W Te Be
1 2 1
direct
0.500 0.500 0.000 W
0.000 0.000 0.000 Te
0.250 0.750 0.500 Te
0.750 0.250 0.500 Be


# 20
BeTe2W PBE relaxed; density of states at the Fermi level = 3.01 states/eV/cell; SG = Cm; formation energy from raw total energies = 0.30 eV/atom
1.0
-4.005 0.108 -2.188
-2.007 -2.598 -3.172
-3.138 -3.922 4.414
Te W Be
2 1 1
direct
0.777 0.777 0.610 Te
0.006 0.006 0.116 Te
0.500 0.500 0.425 W
0.217 0.217 0.350 Be